No. 1
Ga2HgAu2: relaxed, GGA-PBE.

Cell and atoms, written as CIF:
```
data_Ga2HgAu2
_cell_length_a 4.136
_cell_length_b 4.136
_cell_length_c 12.258
_cell_angle_alpha 90.00
_cell_angle_beta 90.00
_cell_angle_gamma 90.00
_symmetry_space_group_name_H-M 'I 4/m m m'
_symmetry_Int_Tables_number 139
_symmetry_space_group_name_Hall '-I 4 2'
loop_
_atom_site_label
_atom_site_fract_x
_atom_site_fract_y
_atom_site_fract_z
Ga1 0.000 0.500 0.250
Hg1 0.000 0.000 0.000
Au1 0.000 0.000 0.387
```

Properties
ΔE to the lowest computed polymorph in eV per atom: 0.010
Total magnetization in μB/f.u.: 0.0

=====

No. 2
GaHg2Au: relaxed, GGA-PBE.

Cell and atoms, written as CIF:
```
data_GaHg2Au
_cell_length_a 7.995
_cell_length_b 7.995
_cell_length_c 5.805
_cell_angle_alpha 90.00
_cell_angle_beta 90.00
_cell_angle_gamma 90.00
_symmetry_space_group_name_H-M 'I -4 2 d'
_symmetry_Int_Tables_number 122
_symmetry_space_group_name_Hall 'I -4 2bw'
loop_
_atom_site_label
_atom_site_fract_x
_atom_site_fract_y
_atom_site_fract_z
Ga1 0.000 0.000 0.000
Hg1 0.248 0.750 0.125
Au1 0.000 0.000 0.500
```

Properties
Total magnetization in μB/f.u.: 0.0

=====

No. 3
GaHgAu3: relaxed, GGA-PBE.

Cell and atoms, written as CIF:
```
data_GaHgAu3
_cell_length_a 13.489
_cell_length_b 8.295
_cell_length_c 7.340
_cell_angle_alpha 90.00
_cell_angle_beta 103.24
_cell_angle_gamma 90.00
_symmetry_space_group_name_H-M 'C 1 2/c 1'
_symmetry_Int_Tables_number 15
_symmetry_space_group_name_Hall '-C 2yc'
loop_
_atom_site_label
_atom_site_fract_x
_atom_site_fract_y
_atom_site_fract_z
Ga1 0.106 0.154 0.307
Hg1 0.000 0.143 0.750
Hg2 0.000 0.468 0.250
Au1 0.148 0.342 0.606
Au2 0.155 0.317 0.038
Au3 0.212 0.020 0.614
```

Properties
ΔE to the lowest computed polymorph in eV per atom: 0.030
Total magnetization in μB/f.u.: 0.0

=====

No. 4
Ga2Hg2Au: relaxed, GGA-PBE.

Cell and atoms, written as CIF:
```
data_Ga2Hg2Au
_cell_length_a 4.083
_cell_length_b 4.083
_cell_length_c 14.183
_cell_angle_alpha 90.00
_cell_angle_beta 90.00
_cell_angle_gamma 90.00
_symmetry_space_group_name_H-M 'I 4/m m m'
_symmetry_Int_Tables_number 139
_symmetry_space_group_name_Hall '-I 4 2'
loop_
_atom_site_label
_atom_site_fract_x
_atom_site_fract_y
_atom_site_fract_z
Ga1 0.000 0.000 0.089
Hg1 0.000 0.500 0.250
Au1 0.000 0.000 0.500
```

Properties
ΔE to the lowest computed polymorph in eV per atom: 0.203
Total magnetization in μB/f.u.: 0.0

=====

E_form for every record listed, in sequence, given in kJ/mol of formula units: -31, 34, -7, 94.